An optimized crystal structure of VOsO5, computed with GGA+U.

Structure (extended XYZ):
```
7
Lattice="-3.371 0.581 0.673 -2.239 -4.455 1.655 -0.659 0.640 5.173" Properties=species:S:1:pos:R:3 pbc="T T T"
O -3.024 -2.648 5.194
O -1.158 -0.967 4.063
O -1.741 -2.848 2.765
O -1.686 0.290 0.337
O -3.246 -0.587 2.308
Os -3.135 -1.617 3.751
V 0.000 0.000 0.000
```

The crystal system is orthorhombic. The energy is -52.342 eV/f.u.